[1]
PaCo3As: optimized geometry, PBE-GGA.

```
data_PaCo3As
_cell_length_a 5.0424
_cell_length_b 7.1806
_cell_length_c 8.0072
_cell_angle_alpha 90.00
_cell_angle_beta 90.00
_cell_angle_gamma 90.00
_symmetry_space_group_name_H-M 'I m m a'
_symmetry_Int_Tables_number 74
_symmetry_space_group_name_Hall '-I 2b 2'
loop_
_atom_site_label
_atom_site_type_symbol
_atom_site_fract_x
_atom_site_fract_y
_atom_site_fract_z
Pa1 Pa 0.0000 0.2500 0.0028
Co1 Co 0.0000 0.2500 0.6966
Co2 Co 0.2500 0.0526 0.2500
As1 As 0.0000 0.0000 0.5000
```

Computed properties:
VASP energy	-7.48	eV per atom
crystal system	orthorhombic
formation energy from the elements	-0.38	eV per atom
M_tot	0.003	μB per atom

[2]
Pa2CoAs3: optimized geometry, PBE-GGA.

```
data_Pa2CoAs3
_cell_length_a 4.0115
_cell_length_b 5.7613
_cell_length_c 11.0884
_cell_angle_alpha 90.00
_cell_angle_beta 90.00
_cell_angle_gamma 90.00
_symmetry_space_group_name_H-M 'I m m m'
_symmetry_Int_Tables_number 71
_symmetry_space_group_name_Hall '-I 2 2'
loop_
_atom_site_label
_atom_site_type_symbol
_atom_site_fract_x
_atom_site_fract_y
_atom_site_fract_z
Pa1 Pa 0.0000 0.0000 0.1791
Co1 Co 0.0000 0.0000 0.5000
As1 As 0.0000 0.5000 0.1358
As2 As 0.0000 0.5000 0.5000
```

Computed properties:
VASP energy	-7.21	eV per atom
crystal system	orthorhombic
formation energy from the elements	-0.54	eV per atom
M_tot	0.381	μB per atom

[3]
Pa2Co5As3: optimized geometry, PBE-GGA.

```
data_Pa2Co5As3
_cell_length_a 3.9561
_cell_length_b 23.2688
_cell_length_c 6.7102
_cell_angle_alpha 90.00
_cell_angle_beta 90.00
_cell_angle_gamma 90.00
_symmetry_space_group_name_H-M 'C m c 21'
_symmetry_Int_Tables_number 36
loop_
_symmetry_equiv_pos_as_xyz
'x,y,z'
'-x,-y,z+1/2'
'-x,y,z'
'x,-y,z+1/2'
'x+1/2,y+1/2,z'
'-x+1/2,-y+1/2,z+1/2'
'-x+1/2,y+1/2,z'
'x+1/2,-y+1/2,z+1/2'
loop_
_atom_site_label
_atom_site_type_symbol
_atom_site_fract_x
_atom_site_fract_y
_atom_site_fract_z
Pa1 Pa 0.0000 0.0038 0.0000
Pa2 Pa 0.0000 0.3222 0.9930
Co1 Co 0.0000 0.1067 0.6217
Co2 Co 0.0000 0.2061 0.1507
Co3 Co 0.0000 0.2241 0.7434
Co4 Co 0.0000 0.3740 0.5732
Co5 Co 0.0000 0.4657 0.7570
As1 As 0.0000 0.1077 0.2608
As2 As 0.0000 0.2794 0.4420
As3 As 0.0000 0.4283 0.2633
```

Computed properties:
VASP energy	-7.33	eV per atom
crystal system	orthorhombic
formation energy from the elements	-0.48	eV per atom
M_tot	0.000	μB per atom

[4]
Pa3Co3As4: optimized geometry, PBE-GGA.

```
data_Pa3Co3As4
_cell_length_a 8.9259
_cell_length_b 8.9259
_cell_length_c 8.9259
_cell_angle_alpha 90.00
_cell_angle_beta 90.00
_cell_angle_gamma 90.00
_symmetry_space_group_name_H-M 'I -4 3 d'
_symmetry_Int_Tables_number 220
_symmetry_space_group_name_Hall 'I -4bd 2c 3'
loop_
_atom_site_label
_atom_site_type_symbol
_atom_site_fract_x
_atom_site_fract_y
_atom_site_fract_z
Pa1 Pa 0.0000 0.2500 0.3750
Co1 Co 0.0000 0.2500 0.8750
As1 As 0.0816 0.0816 0.0816
```

Computed properties:
VASP energy	-7.79	eV per atom
crystal system	cubic
formation energy from the elements	-0.94	eV per atom
M_tot	0.000	μB per atom

[5]
Pa3Co7As2: optimized geometry, PBE-GGA.

```
data_Pa3Co7As2
_cell_length_a 3.8839
_cell_length_b 3.8839
_cell_length_c 24.6081
_cell_angle_alpha 90.00
_cell_angle_beta 90.00
_cell_angle_gamma 90.00
_symmetry_space_group_name_H-M 'I 4/m m m'
_symmetry_Int_Tables_number 139
_symmetry_space_group_name_Hall '-I 4 2'
loop_
_atom_site_label
_atom_site_type_symbol
_atom_site_fract_x
_atom_site_fract_y
_atom_site_fract_z
Pa1 Pa 0.0000 0.0000 0.0000
Pa2 Pa 0.0000 0.0000 0.1727
Co1 Co 0.0000 0.0000 0.2681
Co2 Co 0.0000 0.0000 0.5000
Co3 Co 0.0000 0.5000 0.0763
As1 As 0.0000 0.0000 0.3705
```

Computed properties:
VASP energy	-7.67	eV per atom
crystal system	tetragonal
formation energy from the elements	-0.37	eV per atom
M_tot	0.183	μB per atom

[6]
PaCo3As2: optimized geometry, PBE-GGA.

```
data_PaCo3As2
_cell_length_a 15.5089
_cell_length_b 3.8212
_cell_length_c 9.3516
_cell_angle_alpha 90.00
_cell_angle_beta 107.24
_cell_angle_gamma 90.00
_symmetry_space_group_name_H-M 'C 1 2/m 1'
_symmetry_Int_Tables_number 12
loop_
_symmetry_equiv_pos_as_xyz
'x,y,z'
'-x,-y,-z'
'-x,y,-z'
'x,-y,z'
'x+1/2,y+1/2,z'
'-x+1/2,-y+1/2,-z'
'-x+1/2,y+1/2,-z'
'x+1/2,-y+1/2,z'
loop_
_atom_site_label
_atom_site_type_symbol
_atom_site_fract_x
_atom_site_fract_y
_atom_site_fract_z
Pa1 Pa 0.0000 0.0000 0.0000
Pa2 Pa 0.1602 0.0000 0.6953
Co1 Co 0.0000 0.5000 0.5000
Co2 Co 0.0443 0.0000 0.3376
Co3 Co 0.1123 0.5000 0.1878
Co4 Co 0.1783 0.5000 0.9652
Co5 Co 0.2211 0.0000 0.3881
As1 As 0.0397 0.5000 0.7779
As2 As 0.1391 0.5000 0.4445
As3 As 0.1970 0.0000 0.1257
```

Computed properties:
VASP energy	-7.26	eV per atom
crystal system	monoclinic
formation energy from the elements	-0.58	eV per atom
M_tot	0.054	μB per atom

[7]
PaCo5As2: optimized geometry, PBE-GGA.

```
data_PaCo5As2
_cell_length_a 3.6696
_cell_length_b 6.4583
_cell_length_c 9.2394
_cell_angle_alpha 90.00
_cell_angle_beta 90.00
_cell_angle_gamma 90.00
_symmetry_space_group_name_H-M 'I m m m'
_symmetry_Int_Tables_number 71
_symmetry_space_group_name_Hall '-I 2 2'
loop_
_atom_site_label
_atom_site_type_symbol
_atom_site_fract_x
_atom_site_fract_y
_atom_site_fract_z
Pa1 Pa 0.0000 0.0000 0.0000
Co1 Co 0.0000 0.1950 0.3641
Co2 Co 0.0000 0.5000 0.0000
As1 As 0.0000 0.5000 0.2428
```

Computed properties:
VASP energy	-7.16	eV per atom
crystal system	orthorhombic
formation energy from the elements	-0.37	eV per atom
M_tot	0.000	μB per atom

[8]
PaCo2As3: optimized geometry, PBE-GGA.

```
data_PaCo2As3
_cell_length_a 7.5639
_cell_length_b 7.5639
_cell_length_c 4.2621
_cell_angle_alpha 90.00
_cell_angle_beta 90.00
_cell_angle_gamma 120.00
_symmetry_space_group_name_H-M 'P -3 m 1'
_symmetry_Int_Tables_number 164
_symmetry_space_group_name_Hall '-P 3 2"'
loop_
_atom_site_label
_atom_site_type_symbol
_atom_site_fract_x
_atom_site_fract_y
_atom_site_fract_z
Pa1 Pa 0.3333 0.6667 0.1677
Co1 Co 0.0000 0.0000 0.5000
Co2 Co 0.0000 0.5000 0.5000
As1 As 0.1645 0.3290 0.7258
```

Computed properties:
VASP energy	-6.68	eV per atom
crystal system	trigonal
formation energy from the elements	-0.40	eV per atom
M_tot	0.000	μB per atom

[9]
PaCo4As2: optimized geometry, PBE-GGA.

```
data_PaCo4As2
_cell_length_a 15.8814
_cell_length_b 3.9284
_cell_length_c 6.3658
_cell_angle_alpha 90.00
_cell_angle_beta 90.00
_cell_angle_gamma 90.00
_symmetry_space_group_name_H-M 'P n m a'
_symmetry_Int_Tables_number 62
loop_
_symmetry_equiv_pos_as_xyz
'x,y,z'
'-x,-y,-z'
'-x+1/2,-y,z+1/2'
'x+1/2,y,-z+1/2'
'x+1/2,-y+1/2,-z+1/2'
'-x+1/2,y+1/2,z+1/2'
'-x,y+1/2,-z'
'x,-y+1/2,z'
loop_
_atom_site_label
_atom_site_type_symbol
_atom_site_fract_x
_atom_site_fract_y
_atom_site_fract_z
Pa1 Pa 0.1387 0.2500 0.0010
Co1 Co 0.0285 0.7500 0.1258
Co2 Co 0.0680 0.2500 0.5218
Co3 Co 0.1863 0.7500 0.6716
Co4 Co 0.2008 0.7500 0.2602
As1 As 0.0382 0.7500 0.7346
As2 As 0.2139 0.2500 0.4610
```

Computed properties:
VASP energy	-7.13	eV per atom
crystal system	orthorhombic
formation energy from the elements	-0.39	eV per atom
M_tot	0.152	μB per atom

[10]
Pa2Co3As4Pd: optimized geometry, PBE-GGA.

```
data_Pa2Co3As4Pd
_cell_length_a 4.2217
_cell_length_b 4.2217
_cell_length_c 9.2352
_cell_angle_alpha 90.00
_cell_angle_beta 90.00
_cell_angle_gamma 90.00
_symmetry_space_group_name_H-M 'P -4 m 2'
_symmetry_Int_Tables_number 115
loop_
_symmetry_equiv_pos_as_xyz
'x,y,z'
'y,-x,-z'
'-x,-y,z'
'-y,x,-z'
'-x,y,z'
'-y,-x,-z'
'x,-y,z'
'y,x,-z'
loop_
_atom_site_label
_atom_site_type_symbol
_atom_site_fract_x
_atom_site_fract_y
_atom_site_fract_z
Pa1 Pa 0.0000 0.5000 0.2453
Co1 Co 0.0000 0.5000 0.8917
Co2 Co 0.5000 0.5000 0.5000
As1 As 0.0000 0.0000 0.0000
As2 As 0.0000 0.5000 0.6439
As3 As 0.5000 0.5000 0.0000
Pd1 Pd 0.0000 0.0000 0.5000
```

Computed properties:
VASP energy	-7.07	eV per atom
crystal system	tetragonal
formation energy from the elements	-0.66	eV per atom
M_tot	0.041	μB per atom